1.
Compound: Hf2NbPd
Source: the Alexandria database
Functional: GGA-PBE
Structure: relaxed

Calculated values
ΔE_f: -6.33 kcal/mol of atoms
E above lowest polymorph: 0.104 eV/atom
calculated volume: 75.0 Å³/cell
magnetic moment: 0.0 Bohr magnetons per cell
energy: -9.067 eV/atom
theoretical density: 12.315 g cm⁻³

Cell lengths 4.7338, 4.7338, 4.7338 Å; angles 60.00, 60.00, 60.00 degrees
Last column: nearest neighbours and their distance in Å.
Atoms (fractional coordinates):
1 Nb 0.0000 0.0000 0.0000  8 Hf 2.90
2 Hf 0.2500 0.2500 0.2500  4 Nb 2.90, 4 Pd 2.90
3 Hf 0.7500 0.7500 0.7500  4 Nb 2.90, 4 Pd 2.90
4 Pd 0.5000 0.5000 0.5000  8 Hf 2.90

---

2.
Compound: Hf2NbPd
Source: the Alexandria database
Functional: GGA-PBE
Structure: relaxed

Calculated values
ΔE_f: -3.28 kcal/mol of atoms
E above lowest polymorph: 0.237 eV/atom
calculated volume: 78.1 Å³/cell
magnetic moment: 0.0 Bohr magnetons per cell
energy: -8.934 eV/atom
theoretical density: 11.832 g cm⁻³

Cell lengths 3.1083, 3.1083, 9.5019 Å; angles 80.59, 80.59, 60.00 degrees
Last column: nearest neighbours and their distance in Å.
Atoms (fractional coordinates):
1 Hf 0.0803 0.0803 0.7591  3 Pd 2.86, 3 Nb 3.00, 6 Hf 3.11
2 Hf 0.2525 0.2525 0.2424  3 Pd 2.91, 3 Nb 3.01, 6 Hf 3.11
3 Nb 0.4996 0.4996 0.5013  6 Hf 3.00-3.01, 6 Nb 3.11
4 Pd 0.6676 0.6676 0.9972  6 Hf 2.86-2.91, 6 Pd 3.11

---

3.
Compound: Hf2NbPd
Source: the Alexandria database
Functional: GGA-PBE
Structure: relaxed

Calculated values
ΔE_f: 8.18 kcal/mol of atoms
E above lowest polymorph: 0.733 eV/atom
calculated volume: 164.4 Å³/cell
magnetic moment: 0.0 Bohr magnetons per cell
energy: -8.438 eV/atom
theoretical density: 11.236 g cm⁻³

Cell lengths 4.1140, 4.1140, 10.1411 Å; angles 78.30, 78.30, 90.00 degrees
Last column: nearest neighbours and their distance in Å.
Atoms (fractional coordinates):
1 Nb 0.5000 0.5000 0.0000  4 Hf 2.83, 4 Pd 2.91
2 Nb 0.2500 0.7500 0.5000  4 Hf 2.83, 4 Pd 2.91
3 Hf 0.6231 0.1250 0.2500  2 Nb 2.83, 2 Pd 2.83, 4 Hf 2.90-2.92
4 Hf 0.1269 0.6250 0.2500  2 Nb 2.83, 2 Pd 2.83, 4 Hf 2.90-2.92
5 Hf 0.3750 0.3769 0.7500  2 Nb 2.83, 2 Pd 2.83, 4 Hf 2.90-2.92
6 Hf 0.8750 0.8731 0.7500  2 Nb 2.83, 2 Pd 2.83, 4 Hf 2.90-2.92
7 Pd 0.0000 0.0000 0.0000  4 Hf 2.83, 4 Nb 2.91
8 Pd 0.7500 0.2500 0.5000  4 Hf 2.83, 4 Nb 2.91

---

4.
Compound: HfNb2PdRh
Source: the Alexandria database
Functional: GGA-PBE
Structure: relaxed

Calculated values
ΔE_f: 26.06 kcal/mol of atoms
calculated volume: 112.7 Å³/cell
magnetic moment: 0.0 Bohr magnetons per cell
energy: -7.398 eV/atom
theoretical density: 8.450 g cm⁻³

Cell lengths 4.7886, 4.9162, 4.7886 Å; angles 90.00, 90.00, 90.00 degrees
Last column: nearest neighbours and their distance in Å.
Atoms (fractional coordinates):
1 Rh 0.5000 0.5000 0.5000  4 Hf 3.39, 8 Nb 3.43
2 Nb 0.0000 0.0000 0.5000  2 Pd 2.39
3 Nb 0.5000 0.0000 0.0000  2 Pd 2.39
4 Hf 0.0000 0.5000 0.0000  2 Pd 2.46
5 Pd 0.0000 0.0000 0.0000  4 Nb 2.39, 2 Hf 2.46